Ca2SnSbPd6 | PBE | optimized geometry

The structure belongs to space group P-1 (No. 2); the cell edges are 5.599, 6.618 and 6.682 Å and the angles 86.74°, 65.31° and 65.09°. The distinct sites, in fractional coordinates, are Ca at (0.250, 0.247, 0.253), Sn at (0.500, 0.500, 0.500), Sb at (0.000, 0.000, 0.000), Pd at (0.190, 0.810, 0.310), Pd at (0.252, 0.559, 0.938) and Pd at (0.309, 0.191, 0.691).

***

LiPaCr2S6 | PBE | optimized geometry

The structure belongs to space group R3 (No. 146, hexagonal axes); the cell edges are 6.3220, 6.3220 and 16.8237 Å and the angles 90.00°, 90.00° and 120.00°. The distinct sites, in fractional coordinates, are Li at (0.0000, 0.0000, 0.0000), Pa at (0.0000, 0.0000, 0.4973), Cr at (0.0000, 0.0000, 0.3029), Cr at (0.0000, 0.0000, 0.8035), S at (0.0065, 0.6348, 0.0592) and S at (0.0106, 0.3858, 0.5615).

***

CsSrSb | PBE | optimized geometry

The structure belongs to space group P1 (No. 1); the cell edges are 4.835, 7.539 and 9.199 Å and the angles 107.39°, 90.04° and 90.15°. The distinct sites, in fractional coordinates, are Cs at (0.000, 0.000, 0.000), Cs at (0.002, 0.000, 0.500), Sr at (0.499, 0.507, 0.379), Sr at (0.499, 0.507, 0.879), Sb at (0.999, 0.546, 0.138) and Sb at (0.999, 0.546, 0.638).

***

Number 1: size of the total moment 0.0 μB per formula unit, uncorrected energy -4.921 eV per atom. Number 2: size of the total moment 6.0 μB per formula unit, uncorrected energy -6.564 eV per atom. Number 3: size of the total moment 0.0 μB per formula unit, uncorrected energy -2.794 eV per atom.